Compound: U2PAu
Source: Alexandria
Functional: PBE
Structure: optimized geometry

```
4
Lattice="1.709 0.987 9.435 -1.709 0.987 9.435 0.000 -1.973 9.435" Properties=species:S:1:pos:R:3 pbc="T T T"
U 0.000 0.000 2.907
U 0.000 0.000 25.399
P 0.000 0.000 14.153
Au 0.000 0.000 0.000
```

Values from the calculation:
ΔE_f = 79 meV/atom
calculated volume = 23.863 Å³ per atom



Compound: VPAu3
Source: Alexandria
Functional: PBE
Structure: optimized geometry

```
5
Lattice="4.703 0.000 0.000 0.000 4.703 0.000 0.000 0.000 4.703" Properties=species:S:1:pos:R:3 pbc="T T T"
V 0.000 0.000 0.000
P 2.352 2.352 2.352
Au 0.000 2.352 2.352
Au 2.352 0.000 2.352
Au 2.352 2.352 0.000
```

Values from the calculation:
ΔE_f = 531 meV/atom
calculated volume = 20.808 Å³ per atom



Compound: V2P2Au
Source: Alexandria
Functional: PBE
Structure: optimized geometry

```
10
Lattice="6.876 0.000 0.000 0.000 6.876 0.000 0.000 0.000 3.063" Properties=species:S:1:pos:R:3 pbc="T T T"
V 0.940 2.498 0.000
V 2.498 5.936 0.000
V 4.378 0.940 0.000
V 5.936 4.378 0.000
P 1.004 4.442 1.531
P 2.434 1.004 1.531
P 4.442 5.872 1.531
P 5.872 2.434 1.531
Au 0.000 0.000 0.000
Au 3.438 3.438 0.000
```

Values from the calculation:
ΔE_f = -317 meV/atom
calculated volume = 14.479 Å³ per atom



Compound: VP2Au
Source: Alexandria
Functional: PBE
Structure: optimized geometry

```
4
Lattice="2.115 1.221 5.372 -2.115 1.221 5.372 0.000 -2.443 5.372" Properties=species:S:1:pos:R:3 pbc="T T T"
V 0.000 0.000 0.000
P 0.000 0.000 5.722
P 0.000 0.000 10.393
Au 0.000 0.000 8.058
```

Values from the calculation:
ΔE_f = 205 meV/atom
calculated volume = 20.819 Å³ per atom